Here is a relaxed structure of Cs2In2Sb2Te from Alexandria via LeMat-Bulk. Energies are from PBE.

a b c (Å): 4.845 7.411 9.526
angles (deg): 103.41 104.66 90.01
Sites, in units of the cell vectors:
Cs 0.127 0.313 0.254
Cs 0.873 0.687 0.746
In 0.384 0.215 0.770
In 0.616 0.785 0.230
Sb 0.230 0.874 0.458
Sb 0.770 0.126 0.542
Te 0.500 0.000 0.000

Computed properties:
* formation energy from raw total energies: -0.3614 eV per atom
* space-group type: No. 2



Here is a relaxed structure of Cs2InSbTe4 from Alexandria via LeMat-Bulk. Energies are from PBE.

a b c (Å): 15.573 13.826 8.775
angles (deg): 83.93 61.99 34.08
Sites, in units of the cell vectors:
Cs 0.059 0.059 0.691
Cs 0.309 0.309 0.941
Cs 0.691 0.691 0.059
Cs 0.941 0.941 0.309
In 0.375 0.375 0.375
In 0.625 0.625 0.625
Sb 0.125 0.125 0.125
Sb 0.875 0.875 0.875
Te 0.025 0.347 0.431
Te 0.302 0.569 0.653
Te 0.347 0.025 0.698
Te 0.431 0.698 0.025
Te 0.569 0.302 0.975
Te 0.653 0.975 0.302
Te 0.698 0.431 0.347
Te 0.975 0.653 0.569

Computed properties:
* formation energy from raw total energies: -0.5758 eV per atom
* space-group type: No. 70



Here is a relaxed structure of CsTlIn2Sb from Alexandria via LeMat-Bulk. Energies are from PBE.

a b c (Å): 5.849 5.849 7.120
angles (deg): 90.00 90.00 90.00
Sites, in units of the cell vectors:
Cs 0.000 0.000 0.000
Tl 0.500 0.500 0.000
In 0.000 0.500 0.500
In 0.500 0.000 0.500
Sb 0.000 0.000 0.500

Computed properties:
* formation energy from raw total energies: 0.2824 eV per atom
* space-group type: No. 123



Here is a relaxed structure of CsTl2InSb from Alexandria via LeMat-Bulk. Energies are from PBE.

a b c (Å): 8.489 8.489 8.489
angles (deg): 147.91 143.98 49.00
Sites, in units of the cell vectors:
Cs 0.000 0.000 0.000
Tl 0.624 0.624 0.000
Tl 0.767 0.267 0.500
In 0.259 0.759 0.500
Sb 0.385 0.385 0.000

Computed properties:
* formation energy from raw total energies: -0.1474 eV per atom
* space-group type: No. 44



Here is a relaxed structure of CsTl2InSb2 from Alexandria via LeMat-Bulk. Energies are from PBE.

a b c (Å): 5.463 8.328 9.648
angles (deg): 90.00 90.00 90.00
Sites, in units of the cell vectors:
Cs 0.000 0.117 0.000
Cs 0.000 0.883 0.500
Tl 0.000 0.333 0.642
Tl 0.000 0.667 0.142
Tl 0.500 0.437 0.940
Tl 0.500 0.563 0.440
In 0.500 0.176 0.356
In 0.500 0.824 0.856
Sb 0.000 0.366 0.326
Sb 0.000 0.634 0.826
Sb 0.500 0.143 0.692
Sb 0.500 0.857 0.192

Computed properties:
* formation energy from raw total energies: -0.1267 eV per atom
* space-group type: No. 26



Here is a relaxed structure of CsZnInSb from Alexandria via LeMat-Bulk. Energies are from PBE.

a b c (Å): 4.369 4.369 15.471
angles (deg): 90.00 90.00 90.00
Sites, in units of the cell vectors:
Cs 0.250 0.250 0.247
Cs 0.750 0.750 0.753
Zn 0.250 0.750 0.500
Zn 0.750 0.250 0.500
In 0.250 0.750 0.000
In 0.750 0.250 0.000
Sb 0.250 0.250 0.609
Sb 0.750 0.750 0.391

Computed properties:
* formation energy from raw total energies: -0.1799 eV per atom
* space-group type: No. 129



Here is a relaxed structure of Cs2ZnInSb2 from Alexandria via LeMat-Bulk. Energies are from PBE.

a b c (Å): 10.039 10.039 10.039
angles (deg): 137.47 61.74 137.44
Sites, in units of the cell vectors:
Cs 0.167 0.249 0.416
Cs 0.333 0.749 0.081
Cs 0.667 0.251 0.919
Cs 0.833 0.751 0.584
Zn 0.250 0.750 0.500
Zn 0.750 0.250 0.500
In 0.250 0.250 0.000
In 0.750 0.750 0.000
Sb 0.086 0.729 0.815
Sb 0.414 0.229 0.643
Sb 0.586 0.771 0.357
Sb 0.914 0.271 0.185

Computed properties:
* formation energy from raw total energies: -0.3559 eV per atom
* space-group type: No. 72



Here is a relaxed structure of CsZnInSb2 from Alexandria via LeMat-Bulk. Energies are from PBE.

a b c (Å): 7.753 7.753 11.103
angles (deg): 98.34 98.34 34.86
Sites, in units of the cell vectors:
Cs 0.159 0.159 0.174
Cs 0.841 0.841 0.826
Zn 0.171 0.171 0.584
Zn 0.829 0.829 0.416
In 0.457 0.457 0.318
In 0.543 0.543 0.682
Sb 0.121 0.121 0.813
Sb 0.359 0.359 0.550
Sb 0.641 0.641 0.450
Sb 0.879 0.879 0.187

Computed properties:
* formation energy from raw total energies: -0.2641 eV per atom
* energy above the most stable polymorph in this dataset: 0.000 eV/atom
* space-group type: No. 12



Here is a relaxed structure of CsZnInSb2 from Alexandria via LeMat-Bulk. Energies are from PBE.

a b c (Å): 5.664 5.664 7.265
angles (deg): 90.00 90.00 90.00
Sites, in units of the cell vectors:
Cs 0.000 0.000 0.000
Zn 0.500 0.500 0.000
In 0.000 0.000 0.500
Sb 0.000 0.500 0.500
Sb 0.500 0.000 0.500

Computed properties:
* formation energy from raw total energies: 0.3773 eV per atom
* energy above the most stable polymorph in this dataset: 0.641 eV/atom
* space-group type: No. 123



Here is a relaxed structure of CsScIn3 from Alexandria via LeMat-Bulk. Energies are from PBE.

a b c (Å): 6.086 6.086 6.086
angles (deg): 90.00 90.00 90.00
Sites, in units of the cell vectors:
Cs 0.000 0.000 0.000
Sc 0.500 0.500 0.500
In 0.000 0.000 0.500
In 0.000 0.500 0.000
In 0.500 0.000 0.000

Computed properties:
* energy above the most stable polymorph in this dataset: 1.139 eV/atom
* ΔH_f (0 K): 1.289 eV per atom
* space-group type: No. 221



Here is a relaxed structure of CsSc2In2 from Alexandria via LeMat-Bulk. Energies are from PBE.

a b c (Å): 9.370 9.370 3.274
angles (deg): 90.00 90.00 90.00
Sites, in units of the cell vectors:
Cs 0.000 0.000 0.000
Cs 0.500 0.500 0.000
Sc 0.123 0.377 0.000
Sc 0.377 0.877 0.000
Sc 0.623 0.123 0.000
Sc 0.877 0.623 0.000
In 0.168 0.668 0.500
In 0.332 0.168 0.500
In 0.668 0.832 0.500
In 0.832 0.332 0.500

Computed properties:
* ΔH_f (0 K): -0.071 eV per atom
* space-group type: No. 127



Here is a relaxed structure of CsSc2In from Alexandria via LeMat-Bulk. Energies are from PBE.

a b c (Å): 11.904 11.904 11.904
angles (deg): 16.83 16.83 16.83
Sites, in units of the cell vectors:
Cs 0.000 0.000 0.000
Sc 0.100 0.100 0.100
Sc 0.900 0.900 0.900
In 0.500 0.500 0.500

Computed properties:
* energy above the most stable polymorph in this dataset: 0.000 eV/atom
* ΔH_f (0 K): 0.275 eV per atom
* space-group type: No. 166



Here is a relaxed structure of CsSc3In from Alexandria via LeMat-Bulk. Energies are from PBE.

a b c (Å): 5.638 5.638 5.638
angles (deg): 90.00 90.00 90.00
Sites, in units of the cell vectors:
Cs 0.000 0.000 0.000
Sc 0.000 0.500 0.500
Sc 0.500 0.000 0.500
Sc 0.500 0.500 0.000
In 0.500 0.500 0.500

Computed properties:
* energy above the most stable polymorph in this dataset: 0.000 eV/atom
* ΔH_f (0 K): 0.598 eV per atom
* space-group type: No. 221



Here is a relaxed structure of CsSc2In from Alexandria via LeMat-Bulk. Energies are from PBE.

a b c (Å): 13.042 13.042 13.042
angles (deg): 15.13 15.13 15.13
Sites, in units of the cell vectors:
Cs 0.000 0.000 0.000
Sc 0.422 0.422 0.422
Sc 0.578 0.578 0.578
In 0.500 0.500 0.500

Computed properties:
* energy above the most stable polymorph in this dataset: 0.343 eV/atom
* ΔH_f (0 K): 0.618 eV per atom
* space-group type: No. 166



Here is a relaxed structure of CsSc3In from Alexandria via LeMat-Bulk. Energies are from PBE.

a b c (Å): 5.258 5.258 5.258
angles (deg): 90.00 90.00 90.00
Sites, in units of the cell vectors:
Cs 0.000 0.000 0.000
Sc 0.000 0.000 0.500
Sc 0.000 0.500 0.000
Sc 0.500 0.000 0.000
In 0.500 0.500 0.500

Computed properties:
* energy above the most stable polymorph in this dataset: 0.693 eV/atom
* ΔH_f (0 K): 1.291 eV per atom
* space-group type: No. 221



Here is a relaxed structure of CsScIn3 from Alexandria via LeMat-Bulk. Energies are from PBE.

a b c (Å): 5.805 5.805 5.805
angles (deg): 90.00 90.00 90.00
Sites, in units of the cell vectors:
Cs 0.000 0.000 0.000
Sc 0.500 0.500 0.500
In 0.000 0.500 0.500
In 0.500 0.000 0.500
In 0.500 0.500 0.000

Computed properties:
* energy above the most stable polymorph in this dataset: 0.000 eV/atom
* ΔH_f (0 K): 0.150 eV per atom
* space-group type: No. 221



Here is a relaxed structure of CsInSe from Alexandria via LeMat-Bulk. Energies are from PBE.

a b c (Å): 7.732 7.732 8.150
angles (deg): 109.23 109.23 34.08
Sites, in units of the cell vectors:
Cs 0.108 0.108 0.296
Cs 0.892 0.892 0.704
In 0.367 0.367 0.108
In 0.633 0.633 0.892
Se 0.215 0.215 0.766
Se 0.785 0.785 0.234

Computed properties:
* formation energy from raw total energies: -0.7413 eV per atom
* energy above the most stable polymorph in this dataset: 0.044 eV/atom
* space-group type: No. 12



Here is a relaxed structure of CsIn4Se7 from Alexandria via LeMat-Bulk. Energies are from PBE.

a b c (Å): 16.654 7.026 6.743
angles (deg): 90.00 90.00 90.00
Sites, in units of the cell vectors:
Cs 0.000 0.182 0.000
Cs 0.500 0.818 0.500
In 0.120 0.669 0.622
In 0.250 0.184 0.604
In 0.250 0.816 0.104
In 0.380 0.331 0.122
In 0.620 0.331 0.122
In 0.750 0.184 0.604
In 0.750 0.816 0.104
In 0.880 0.669 0.622
Se 0.000 0.862 0.469
Se 0.111 0.682 0.009
Se 0.112 0.317 0.494
Se 0.241 0.184 0.003
Se 0.259 0.816 0.503
Se 0.388 0.683 0.994
Se 0.389 0.318 0.509
Se 0.500 0.138 0.969
Se 0.611 0.318 0.509
Se 0.612 0.683 0.994
Se 0.741 0.816 0.503
Se 0.759 0.184 0.003
Se 0.888 0.317 0.494
Se 0.889 0.682 0.009

Computed properties:
* formation energy from raw total energies: -0.6006 eV per atom
* space-group type: No. 31



Here is a relaxed structure of CsInSe3 from Alexandria via LeMat-Bulk. Energies are from PBE.

a b c (Å): 5.475 5.475 5.475
angles (deg): 90.00 90.00 90.00
Sites, in units of the cell vectors:
Cs 0.000 0.000 0.000
In 0.500 0.500 0.500
Se 0.000 0.500 0.500
Se 0.500 0.000 0.500
Se 0.500 0.500 0.000

Computed properties:
* formation energy from raw total energies: -0.3297 eV per atom
* space-group type: No. 221



Here is a relaxed structure of Cs3In2Se4 from Alexandria via LeMat-Bulk. Energies are from PBE.

a b c (Å): 9.596 9.596 8.512
angles (deg): 95.34 95.34 77.02
Sites, in units of the cell vectors:
Cs 0.109 0.891 0.750
Cs 0.238 0.505 0.413
Cs 0.495 0.762 0.087
Cs 0.505 0.238 0.913
Cs 0.762 0.495 0.587
Cs 0.891 0.109 0.250
In 0.087 0.322 0.927
In 0.322 0.087 0.427
In 0.678 0.913 0.573
In 0.913 0.678 0.073
Se 0.115 0.234 0.611
Se 0.186 0.567 0.990
Se 0.234 0.115 0.111
Se 0.433 0.814 0.510
Se 0.567 0.186 0.490
Se 0.766 0.885 0.889
Se 0.814 0.433 0.010
Se 0.885 0.766 0.389

Computed properties:
* formation energy from raw total energies: -0.9273 eV per atom
* space-group type: No. 15



What total energy values result from the calculations? In sequence: -3.01; -3.22; -2.28; -2.64; -2.89; -2.43; -2.68; -2.89; -2.24; -1.79; -3.87; -3.79; -3.92; -3.45; -3.23; -2.93; -3.10; -3.62; -3.14; -3.37 eV/atom.